Entry 1:
Compound: BaGa3Cu
Source: the Alexandria database
Functional: PBE
Structure: relaxed

Lattice parameters (Å, degrees): 4.9170 4.9170 4.9170 90.00 90.00 90.00
Element x y z (fractional)
Ga1 0.5000 0.0000 0.0000
Ba1 0.5000 0.5000 0.5000
Ga2 0.0000 0.0000 0.5000
Cu1 0.0000 0.0000 0.0000
Ga3 0.0000 0.5000 0.0000

**Formation enthalpy at 0 K**: -0.133 eV/atom
**Crystal system**: cubic
**Space-group type**: No. 221
**Electronic total energy**: -3.153 eV per atom


Entry 2:
Compound: BeTc2Mo
Source: the Alexandria database
Functional: PBE
Structure: relaxed

Lattice parameters (Å, degrees): 3.0988 3.0988 5.6331 90.00 90.00 90.00
Element x y z (fractional)
Mo1 0.5000 0.5000 0.7500
Be1 0.5000 0.5000 0.2500
Tc1 0.0000 0.0000 0.0252
Tc2 0.0000 0.0000 0.4748

**Formation enthalpy at 0 K**: -0.036 eV/atom
**Crystal system**: tetragonal
**Space-group type**: No. 123
**Electronic total energy**: -8.858 eV per atom


Entry 3:
Compound: TlOsPt2F
Source: the Alexandria database
Functional: PBE
Structure: relaxed

Lattice parameters (Å, degrees): 4.3144 4.6353 4.3144 90.00 90.00 90.00
Element x y z (fractional)
Tl1 0.0000 0.5000 0.0000
Pt1 0.5000 0.0000 0.0000
Os1 0.5000 0.5000 0.5000
F1 0.0000 0.0000 0.0000
Pt2 0.0000 0.0000 0.5000

**Crystal system**: tetragonal
**Space-group type**: No. 123
**Electronic total energy**: -4.498 eV per atom
**Energy relative to the elements, uncorrected**: 1.011 eV/atom


Entry 4:
Compound: La3DyTm2Bi6
Source: the Alexandria database
Functional: PBE
Structure: relaxed

Lattice parameters (Å, degrees): 7.9468 7.9468 7.8987 99.65 99.65 119.99
Element x y z (fractional)
La1 0.5000 0.5000 0.5000
Bi1 0.5866 0.9216 0.7648
Tm1 0.6668 0.3332 0.0000
Bi2 0.9216 0.5866 0.7648
Bi3 0.4134 0.0784 0.2352
Bi4 0.0784 0.4134 0.2352
La2 0.8340 0.1660 0.5000
Bi5 0.2569 0.2569 0.7655
Tm2 0.3332 0.6668 0.0000
Dy1 0.0000 0.0000 0.0000
La3 0.1660 0.8340 0.5000
Bi6 0.7431 0.7431 0.2345

**Formation enthalpy at 0 K**: -0.928 eV/atom
**Crystal system**: monoclinic
**Space-group type**: No. 12
**Electronic total energy**: -5.229 eV per atom


Entry 5:
Compound: K2CaZn
Source: the Alexandria database
Functional: PBE
Structure: relaxed

Lattice parameters (Å, degrees): 3.9970 3.9970 11.2633 90.00 90.00 90.02
Element x y z (fractional)
K1 0.0000 0.0000 0.4523
K2 0.0000 0.0000 0.0477
Ca1 0.5000 0.5000 0.7500
Zn1 0.5000 0.5000 0.2500

**Formation enthalpy at 0 K**: 0.206 eV/atom
**Crystal system**: tetragonal
**Space-group type**: No. 123
**Electronic total energy**: -1.162 eV per atom


Entry 6:
Compound: KSr2SbSe4
Source: the Alexandria database
Functional: PBE
Structure: relaxed

Lattice parameters (Å, degrees): 8.8002 8.8002 8.8577 120.22 120.22 89.38
Element x y z (fractional)
Sr1 0.5000 0.0000 0.0000
Sr2 0.0000 0.0000 0.5000
Sb1 0.0000 0.0000 0.0000
Se1 0.7504 0.2289 0.9897
Se2 0.7470 0.7531 0.5168
Sr3 0.5000 0.0000 0.5000
Sb2 0.5000 0.5000 0.5000
Se3 0.2496 0.7711 0.0103
Sr4 0.5000 0.5000 0.0000
Se4 0.2711 0.7496 0.5103
Se5 0.7289 0.2504 0.4897
K1 0.0000 0.5000 0.5000
Se6 0.2531 0.2470 0.0168
K2 0.0000 0.5000 0.0000
Se7 0.7469 0.7530 0.9832
Se8 0.2530 0.2469 0.4832

**Crystal system**: orthorhombic
**Space-group type**: No. 74
**Electronic total energy**: -4.096 eV per atom
**Energy relative to the elements, uncorrected**: -1.281 eV/atom